Entry 1:
# Ac12Nd7Y

Ac12Nd7Y after structural relaxation (PBE, Alexandria via LeMat-Bulk).

Properties
magnetization = 0.00 Bohr magnetons per cell
uncorrected energy = -4.272 eV per atom
calculated volume = 844.0 Å³ per cell

a = 6.7061 Å, b = 12.2606 Å, c = 12.2606 Å
α = 116.75°, β = 100.51°, γ = 100.51°
With the nearest neighbours (Å) after each atom.
Positions (direct):
Ac  0.4300  0.3458  0.9995  4 Nd 3.54-3.81, 1 Ac 3.72
Ac  0.4305  0.0005  0.3463  4 Nd 3.54-3.81, 1 Ac 3.72
Ac  0.9122  0.8248  0.4120  2 Nd 3.59, 3 Ac 3.63-3.66
Ac  0.9126  0.4127  0.8248  2 Nd 3.59, 3 Ac 3.63-3.66
Ac  0.4998  0.4120  0.5873  2 Nd 3.59, 3 Ac 3.63-3.66
Ac  0.5002  0.5880  0.4127  2 Nd 3.59, 3 Ac 3.63-3.66
Ac  0.0874  0.5873  0.1752  2 Nd 3.59, 3 Ac 3.63-3.66
Ac  0.0841  0.6537  0.6542  4 Nd 3.54-3.81, 1 Ac 3.72
Ac  0.5695  0.9995  0.6537  4 Nd 3.54-3.81, 1 Ac 3.72
Ac  0.0878  0.1752  0.5880  2 Nd 3.59, 3 Ac 3.63-3.66
Ac  0.9159  0.3463  0.3458  4 Nd 3.54-3.81, 1 Ac 3.72
Ac  0.5700  0.6542  0.0005  4 Nd 3.54-3.81, 1 Ac 3.72
Nd  0.8907  0.2436  0.9995  1 Y 3.21, 1 Ac 3.54
Nd  0.1093  0.7564  0.0005  1 Y 3.21, 1 Ac 3.54
Nd  0.5000  0.0000  0.0000  2 Y 3.35, 6 Nd 3.60
Nd  0.1088  0.9995  0.7558  1 Y 3.21, 1 Ac 3.54
Nd  0.3530  0.2442  0.2436  1 Y 3.21, 1 Ac 3.54
Nd  0.8912  0.0005  0.2442  1 Y 3.21, 1 Ac 3.54
Nd  0.6470  0.7558  0.7564  1 Y 3.21, 1 Ac 3.54
Y  0.0000  0.0000  0.0000  8 Nd 3.21-3.35

Entry 2:
# Ac4NdY2

Ac4NdY2 after structural relaxation (PBE, Alexandria via LeMat-Bulk).

Properties
magnetization = 0.00 Bohr magnetons per cell
uncorrected energy = -4.792 eV per atom
calculated volume = 557.9 Å³ per cell

a = 7.2286 Å, b = 7.2286 Å, c = 13.2567 Å
α = 96.89°, β = 96.89°, γ = 123.62°
With the nearest neighbours (Å) after each atom.
Positions (direct):
Ac  0.8316  0.5501  0.2878  4 Y 3.65-4.07, 6 Ac 3.71-4.07, 2 Nd 3.85-3.99
Ac  0.1320  0.9606  0.8613  5 Ac 3.60-3.88, 3 Y 3.70-3.97, 2 Nd 3.72-4.01
Ac  0.3461  0.6344  0.2119  3 Y 3.64-3.83, 5 Ac 3.71-3.92, 2 Nd 3.85-4.02
Ac  0.0545  0.2157  0.6410  5 Ac 3.60-3.88, 2 Nd 3.73-4.03, 3 Y 3.73-3.95
Ac  0.6344  0.3461  0.7119  3 Y 3.64-3.83, 5 Ac 3.71-3.92, 2 Nd 3.85-4.02
Ac  0.2157  0.0545  0.1410  5 Ac 3.60-3.88, 2 Nd 3.73-4.03, 3 Y 3.73-3.95
Ac  0.5501  0.8316  0.7878  4 Y 3.65-4.07, 6 Ac 3.71-4.07, 2 Nd 3.85-3.99
Ac  0.9606  0.1320  0.3613  5 Ac 3.60-3.88, 3 Y 3.70-3.97, 2 Nd 3.72-4.01
Nd  0.5301  0.6509  0.4996  4 Y 3.69-3.75, 8 Ac 3.72-4.03
Nd  0.6509  0.5301  0.9996  4 Y 3.69-3.75, 8 Ac 3.72-4.03
Y  0.0738  0.7069  0.5671  1 Y 3.60, 6 Ac 3.65-3.97, 2 Nd 3.70-3.73
Y  0.1062  0.4683  0.9328  1 Y 3.60, 6 Ac 3.64-3.95, 2 Nd 3.69-3.75
Y  0.4683  0.1062  0.4328  1 Y 3.60, 6 Ac 3.64-3.95, 2 Nd 3.69-3.75
Y  0.7069  0.0738  0.0671  1 Y 3.60, 6 Ac 3.65-3.97, 2 Nd 3.70-3.73

Entry 3:
# Ac2Nd7Y4

Ac2Nd7Y4 after structural relaxation (PBE, Alexandria via LeMat-Bulk).

Properties
magnetization = 0.00 Bohr magnetons per cell
uncorrected energy = -5.000 eV per atom
calculated volume = 468.5 Å³ per cell

a = 6.3649 Å, b = 6.3649 Å, c = 13.3534 Å
α = 90.00°, β = 90.00°, γ = 120.00°
With the nearest neighbours (Å) after each atom.
Positions (direct):
Nd  0.0000  0.6269  0.2287  1 Y 3.24, 4 Nd 3.48
Nd  0.0000  0.3731  0.7713  1 Y 3.24, 4 Nd 3.48
Nd  0.3731  0.0000  0.7713  1 Y 3.24, 4 Nd 3.48
Nd  0.0000  0.0000  0.0000  6 Ac 3.67, 6 Nd 3.87
Nd  0.3731  0.3731  0.2287  1 Y 3.24, 4 Nd 3.48
Nd  0.6269  0.0000  0.2287  1 Y 3.24, 4 Nd 3.48
Nd  0.6269  0.6269  0.7713  1 Y 3.24, 4 Nd 3.48
Ac  0.6667  0.3333  0.0000  9 Nd 3.65-3.67, 3 Ac 3.67
Ac  0.3333  0.6667  0.0000  9 Nd 3.65-3.67, 3 Ac 3.67
Y  0.3333  0.6667  0.5000  9 Y 3.67-3.94
Y  0.0000  0.0000  0.6065  1 Y 2.84
Y  0.6667  0.3333  0.5000  9 Y 3.67-3.94
Y  0.0000  0.0000  0.3935  1 Y 2.84

Entry 4:
# AcNd5Y4

AcNd5Y4 after structural relaxation (PBE, Alexandria via LeMat-Bulk).

Properties
magnetization = 0.00 Bohr magnetons per cell
uncorrected energy = -5.356 eV per atom
calculated volume = 349.5 Å³ per cell

a = 3.6956 Å, b = 3.6956 Å, c = 25.5926 Å
α = 90.00°, β = 90.00°, γ = 90.00°
With the nearest neighbours (Å) after each atom.
Positions (direct):
Nd  0.5000  0.5000  0.8916  4 Y 3.63, 4 Nd 3.70, 4 Ac 3.81
Nd  0.5000  0.5000  0.6952  8 Y 3.61-3.62, 4 Nd 3.70
Nd  0.5000  0.5000  0.5000  8 Y 3.62, 4 Nd 3.70
Nd  0.5000  0.5000  0.1084  4 Y 3.63, 4 Nd 3.70, 4 Ac 3.81
Nd  0.5000  0.5000  0.3048  8 Y 3.61-3.62, 4 Nd 3.70
Y  0.0000  0.0000  0.4023  8 Nd 3.61-3.62, 4 Y 3.70
Y  0.0000  0.0000  0.5977  8 Nd 3.61-3.62, 4 Y 3.70
Y  0.0000  0.0000  0.2069  8 Nd 3.62-3.63, 4 Y 3.70
Y  0.0000  0.0000  0.7931  8 Nd 3.62-3.63, 4 Y 3.70
Ac  0.0000  0.0000  0.0000  4 Ac 3.70, 8 Nd 3.81

Entry 5:
# Ac2Nd4Y

Ac2Nd4Y after structural relaxation (PBE, Alexandria via LeMat-Bulk).

Properties
magnetization = 0.00 Bohr magnetons per cell
uncorrected energy = -4.716 eV per atom
excess energy over the best structure of this formula in the dataset = 0.0000 eV/atom
calculated volume = 261.7 Å³ per cell

a = 6.1653 Å, b = 5.8855 Å, c = 9.5071 Å
α = 112.79°, β = 90.00°, γ = 58.41°
With the nearest neighbours (Å) after each atom.
Positions (direct):
Y  0.0000  0.0000  0.0000  2 Nd 3.58, 6 Ac 3.63-3.67
Nd  0.8546  0.2907  0.4205  7 Nd 3.57-3.85, 1 Y 3.58, 2 Ac 3.74-3.86
Nd  0.4450  0.1100  0.7023  5 Nd 3.49-3.75, 4 Ac 3.67-3.73
Nd  0.1454  0.7093  0.5795  7 Nd 3.57-3.85, 1 Y 3.58, 2 Ac 3.74-3.86
Nd  0.5550  0.8900  0.2977  5 Nd 3.49-3.75, 4 Ac 3.67-3.73
Ac  0.2800  0.4400  0.1422  3 Y 3.63-3.67, 6 Nd 3.67-3.86, 1 Ac 3.99
Ac  0.7200  0.5600  0.8578  3 Y 3.63-3.67, 6 Nd 3.67-3.86, 1 Ac 3.99

Entry 6:
# Ac2NdY3

Ac2NdY3 after structural relaxation (PBE, Alexandria via LeMat-Bulk).

Properties
magnetization = 0.00 Bohr magnetons per cell
uncorrected energy = -5.254 eV per atom
calculated volume = 455.8 Å³ per cell

a = 7.5716 Å, b = 9.0787 Å, c = 7.4905 Å
α = 101.90°, β = 90.00°, γ = 114.65°
With the nearest neighbours (Å) after each atom.
Positions (direct):
Y  0.1174  0.2371  0.0595  2 Nd 3.43-3.44, 5 Y 3.44-3.81, 2 Ac 3.72
Y  0.2881  0.0000  0.2500  1 Nd 3.23, 4 Y 3.44-3.45
Y  0.1196  0.2371  0.5595  2 Nd 3.43-3.44, 5 Y 3.44-3.81, 2 Ac 3.72
Y  0.8804  0.7629  0.4405  2 Nd 3.43-3.44, 5 Y 3.44-3.81, 2 Ac 3.72
Y  0.8826  0.7629  0.9405  2 Nd 3.43-3.44, 5 Y 3.44-3.81, 2 Ac 3.72
Y  0.7119  0.0000  0.7500  1 Nd 3.23, 4 Y 3.44-3.45
Ac  0.3159  0.6368  0.4092  6 Y 3.72-3.93, 2 Ac 3.75, 2 Nd 3.82-3.84
Ac  0.6841  0.3632  0.5908  6 Y 3.72-3.93, 2 Ac 3.75, 2 Nd 3.82-3.84
Ac  0.6791  0.3632  0.0908  6 Y 3.72-3.93, 2 Ac 3.75, 2 Nd 3.82-3.84
Ac  0.3209  0.6368  0.9092  6 Y 3.72-3.93, 2 Ac 3.75, 2 Nd 3.82-3.84
Nd  0.2848  0.0000  0.7500  5 Y 3.23-3.44
Nd  0.7152  0.0000  0.2500  5 Y 3.23-3.44

| no. | formation energy (eV per formula unit) |
| --- | --- |
| 1 | 3.69 |
| 2 | 0.59 |
| 3 | 2.45 |
| 4 | 0.25 |
| 5 | 0.74 |
| 6 | 0.85 |